Record 1
{
  "formula": "CePuH4",
  "functional": "GGA-PBE",
  "state": "relaxed",
  "sg": "P4/mmm, No. 123",
  "total_energy_ev_per_atom": -6.058,
  "rho_g_cm3": 8.31,
  "lattice": [[3.805, 0.000, -0.001], [0.000, 3.805, -0.002], [0.003, 0.004, 5.360]],
  "species": ["H", "H", "H", "H", "Ce", "Pu"],
  "frac_coords": [[0.001, 0.497, 0.741], [0.501, 0.997, 0.741], [0.501, 0.997, 0.255], [0.001, 0.497, 0.255], [0.501, 0.497, 0.998], [0.001, 0.997, 0.498]]
}


Record 2
{
  "formula": "Ce3Pu2H8",
  "functional": "GGA-PBE",
  "state": "relaxed",
  "sg": "Cmmm, No. 65",
  "total_energy_ev_per_atom": -5.893,
  "rho_g_cm3": 8.41,
  "lattice": [[-1.702, -1.453, -3.155], [-3.966, -4.151, 4.051], [-5.918, 3.433, 1.611]],
  "species": ["H", "H", "H", "H", "H", "H", "H", "H", "Ce", "Ce", "Ce", "Pu", "Pu"],
  "frac_coords": [[0.500, 0.629, 0.116], [0.000, 0.876, 0.876], [0.000, 0.353, 0.353], [0.000, 0.647, 0.647], [0.500, 0.116, 0.629], [0.000, 0.124, 0.124], [0.500, 0.371, 0.884], [0.500, 0.884, 0.371], [0.500, 0.000, 0.000], [0.000, 0.314, 0.686], [0.000, 0.686, 0.314], [0.500, 0.258, 0.258], [0.500, 0.742, 0.742]]
}


Record 3
{
  "formula": "CePuH2",
  "functional": "GGA-PBE",
  "state": "relaxed",
  "sg": "R-3m, No. 166",
  "polymorph_energy_ev_per_atom": 0.0000,
  "total_energy_ev_per_atom": -7.034,
  "rho_g_cm3": 10.65,
  "lattice": [[3.506, 0.000, 0.000], [1.753, 3.036, 0.000], [1.753, 1.012, 5.659]],
  "species": ["H", "H", "Pu", "Ce"],
  "frac_coords": [[0.750, 0.750, 0.750], [0.250, 0.250, 0.250], [0.000, 0.000, 0.000], [0.500, 0.500, 0.500]]
}